First-principles (GGA-PBE) data for crystalline FeCo2Cl at its relaxed geometry, as listed in Alexandria via LeMat-Bulk.

Values from the calculation:
M_tot (μB per cell): 12.56
Excess energy over the best structure of this formula in the dataset (meV/atom): 0
Formation energy without anion corrections (eV per atom): 0.139

```
data_FeCo2Cl
_cell_length_a 2.9612
_cell_length_b 2.9612
_cell_length_c 12.5919
_cell_angle_alpha 90.00
_cell_angle_beta 90.00
_cell_angle_gamma 90.00
_space_group_name_H-M_alt 'I -4 m 2'
_space_group_IT_number 119
_space_group_name_Hall 'I -4 -2'
loop_
_atom_site_label
_atom_site_fract_x
_atom_site_fract_y
_atom_site_fract_z
Fe1 0.0000 0.0000 0.0000
Co1 0.0000 0.0000 0.3968
Cl1 0.0000 0.5000 0.2500
```



First-principles (GGA-PBE) data for crystalline FeCoGeCl2 at its relaxed geometry, as listed in Alexandria via LeMat-Bulk.

Values from the calculation:
M_tot (μB per cell): 4.10
Formation energy without anion corrections (eV per atom): 0.521

```
data_FeCoGeCl2
_cell_length_a 4.4890
_cell_length_b 4.4890
_cell_length_c 4.8109
_cell_angle_alpha 90.00
_cell_angle_beta 90.00
_cell_angle_gamma 90.00
_space_group_name_H-M_alt 'P 4/m m m'
_space_group_IT_number 123
_space_group_name_Hall '-P 4 2'
loop_
_atom_site_label
_atom_site_fract_x
_atom_site_fract_y
_atom_site_fract_z
Fe1 0.0000 0.0000 0.0000
Co1 0.0000 0.0000 0.5000
Ge1 0.5000 0.5000 0.0000
Cl1 0.0000 0.5000 0.5000
```



First-principles (GGA-PBE) data for crystalline Hf2FeCoCl at its relaxed geometry, as listed in Alexandria via LeMat-Bulk.

Values from the calculation:
M_tot (μB per cell): 2.86
Formation energy without anion corrections (eV per atom): 0.409

```
data_Hf2FeCoCl
_cell_length_a 4.7186
_cell_length_b 4.7186
_cell_length_c 3.9660
_cell_angle_alpha 90.00
_cell_angle_beta 90.00
_cell_angle_gamma 90.00
_space_group_name_H-M_alt 'P 4/m m m'
_space_group_IT_number 123
_space_group_name_Hall '-P 4 2'
loop_
_atom_site_label
_atom_site_fract_x
_atom_site_fract_y
_atom_site_fract_z
Hf1 0.0000 0.5000 0.0000
Fe1 0.0000 0.0000 0.5000
Co1 0.5000 0.5000 0.5000
Cl1 0.5000 0.5000 0.0000
```



First-principles (GGA-PBE) data for crystalline KFeCoCl5 at its relaxed geometry, as listed in Alexandria via LeMat-Bulk.

Values from the calculation:
M_tot (μB per cell): 3.94
Formation energy without anion corrections (eV per atom): -0.956

```
data_KFeCoCl5
_cell_length_a 8.6016
_cell_length_b 11.4446
_cell_length_c 9.0257
_cell_angle_alpha 90.00
_cell_angle_beta 112.77
_cell_angle_gamma 90.00
_space_group_name_H-M_alt 'C 1 2/c 1'
_space_group_IT_number 15
_space_group_name_Hall '-C 2yc'
loop_
_atom_site_label
_atom_site_fract_x
_atom_site_fract_y
_atom_site_fract_z
K1 0.0000 0.1613 0.2500
Fe1 0.0000 0.5000 0.0000
Co1 0.0000 0.1863 0.7500
Cl1 0.0000 0.4359 0.2500
Cl2 0.1043 0.2996 0.6050
Cl3 0.1938 0.0684 0.9279
```



First-principles (GGA-PBE) data for crystalline KFe2CoCl8 at its relaxed geometry, as listed in Alexandria via LeMat-Bulk.

Values from the calculation:
M_tot (μB per cell): 24.00
Formation energy without anion corrections (eV per atom): -0.908

```
data_KFe2CoCl8
_cell_length_a 10.4088
_cell_length_b 7.0710
_cell_length_c 9.1310
_cell_angle_alpha 90.00
_cell_angle_beta 95.09
_cell_angle_gamma 90.00
_space_group_name_H-M_alt 'C 1 2/m 1'
_space_group_IT_number 12
_space_group_name_Hall '-C 2y'
loop_
_atom_site_label
_atom_site_fract_x
_atom_site_fract_y
_atom_site_fract_z
K1 0.0000 0.0000 0.0000
Fe1 0.1236 0.5000 0.2928
Co1 0.0000 0.0000 0.5000
Cl1 0.0068 0.2424 0.6966
Cl2 0.1957 0.5000 0.0730
Cl3 0.2303 0.0000 0.5134
```



First-principles (GGA-PBE) data for crystalline KFeCoCl6 at its relaxed geometry, as listed in Alexandria via LeMat-Bulk.

Values from the calculation:
M_tot (μB per cell): 4.00
Formation energy without anion corrections (eV per atom): -0.877

```
data_KFeCoCl6
_cell_length_a 6.2080
_cell_length_b 6.2080
_cell_length_c 6.9321
_cell_angle_alpha 90.00
_cell_angle_beta 90.00
_cell_angle_gamma 120.00
_space_group_name_H-M_alt 'P 3 1 2'
_space_group_IT_number 149
_space_group_name_Hall 'P 3 2'
loop_
_atom_site_label
_atom_site_fract_x
_atom_site_fract_y
_atom_site_fract_z
K1 0.0000 0.0000 0.0000
Fe1 0.3333 0.6667 0.5000
Co1 0.6667 0.3333 0.5000
Cl1 0.0161 0.3863 0.3101
```